Entry 1:
Compound: Sc4PbBr
Source: Alexandria
Functional: GGA-PBEsol
Structure: relaxed

Calculated values
DOS(E_F) ... 6.66 states/eV/f.u.
Magnetic moment ... 0.0002 μB per atom
Total energy ... -31.945 eV per cell
SG ... F-43m
Crystal system ... cubic
Formation energy from raw total energies ... 0.34 eV/f.u.

Lattice parameters (Å, degrees): 5.879 5.879 5.879 60.00 60.00 60.00
Element x y z (fractional)
Sc1 0.123 0.123 0.123
Sc2 0.123 0.123 0.631
Sc3 0.123 0.631 0.123
Sc4 0.631 0.123 0.123
Pb1 0.750 0.750 0.750
Br1 0.500 0.500 0.500


Entry 2:
Compound: ScPb2Br
Source: Alexandria
Functional: GGA-PBEsol
Structure: relaxed

Calculated values
Distance to the lowest polymorph of the same formula ... 0 meV/atom
DOS(E_F) ... 3.55 states/eV/f.u.
Magnetic moment ... 0.0002 μB per atom
Total energy ... -18.141 eV per cell
SG ... Imm2
Crystal system ... orthorhombic
Formation energy from raw total energies ... -1.67 eV/f.u.

Lattice parameters (Å, degrees): 6.415 6.415 6.415 149.70 128.21 61.19
Element x y z (fractional)
Sc1 0.000 0.000 0.000
Pb1 0.481 0.481 0.000
Pb2 0.757 0.257 0.500
Br1 0.191 0.691 0.500


Entry 3:
Compound: ScPb3Br
Source: Alexandria
Functional: GGA-PBEsol
Structure: relaxed

Calculated values
DOS(E_F) ... 9.24 states/eV/f.u.
Magnetic moment ... 0.0007 μB per atom
Total energy ... -19.180 eV per cell
SG ... Pm-3m
Crystal system ... cubic
Formation energy from raw total energies ... 1.29 eV/f.u.

Lattice parameters (Å, degrees): 5.603 5.603 5.603 90.00 90.00 90.00
Element x y z (fractional)
Sc1 0.000 0.000 0.000
Pb1 0.000 0.000 0.500
Pb2 0.000 0.500 0.000
Pb3 0.500 0.000 0.000
Br1 0.500 0.500 0.500


Entry 4:
Compound: ScPb2Br
Source: Alexandria
Functional: GGA-PBEsol
Structure: relaxed

Calculated values
Distance to the lowest polymorph of the same formula ... 122 meV/atom
DOS(E_F) ... 3.45 states/eV/f.u.
Magnetic moment ... 0.0003 μB per atom
Total energy ... -17.653 eV per cell
SG ... P2/m
Crystal system ... monoclinic
Formation energy from raw total energies ... -1.18 eV/f.u.

Lattice parameters (Å, degrees): 3.582 5.580 5.429 90.00 93.05 90.00
Element x y z (fractional)
Sc1 0.000 0.000 0.000
Pb1 0.294 0.500 0.235
Pb2 0.706 0.500 0.765
Br1 0.000 0.000 0.500